[1]
Density functional theory data (PBE-GGA) for a relaxed Sc3TcO crystal.

Cell: 5.1481 5.1481 5.1481 Å, 86.47 86.47 86.47°
Closest atoms and distances in Å follow each position.
Positions (direct):
Sc 0.6376 0.6376 0.1227  1 O 2.06
Sc 0.1227 0.6376 0.6376  1 O 2.06
Tc 0.6142 0.6142 0.6142  1 O 2.35, 3 Sc 2.52
Sc 0.6376 0.1227 0.6376  1 O 2.06
O 0.8628 0.8628 0.8628  3 Sc 2.06

Computed properties:
Size of the total moment (μB per cell): 0.00
Offset from the most stable computed form (meV/atom): 782
Space-group type: R3m
Uncorrected formation energy (eV per atom): -0.5403

***

[2]
Density functional theory data (PBE-GGA) for a relaxed KVBr3 crystal.

Cell: 5.2923 5.2923 5.2923 Å, 90.00 90.00 90.00°
Closest atoms and distances in Å follow each position.
Positions (direct):
V 0.0000 0.0000 0.0000  6 Br 2.65
Br 0.0000 0.5000 0.0000  2 V 2.65
Br 0.0000 0.0000 0.5000  2 V 2.65
K 0.5000 0.5000 0.5000  12 Br 3.74
Br 0.5000 0.0000 0.0000  2 V 2.65

Computed properties:
Size of the total moment (μB per cell): 3.00
Space-group type: Pm-3m
Uncorrected formation energy (eV per atom): -1.0802

***

[3]
Density functional theory data (PBE-GGA) for a relaxed IrSeBr2 crystal.

Cell: 3.6501 6.2951 6.2879 Å, 48.77 90.00 90.00°
Closest atoms and distances in Å follow each position.
Positions (direct):
Br 0.5000 0.3541 0.3537  2 Ir 2.62
Se 0.5000 0.6506 0.6506  2 Ir 2.38
Ir 0.0000 0.5171 0.5175  2 Se 2.38, 4 Br 2.62-2.64
Br 0.0000 0.9783 0.9782  2 Ir 2.63-2.64

Computed properties:
Size of the total moment (μB per cell): 0.54
Offset from the most stable computed form (meV/atom): 18
Space-group type: Pm
Uncorrected formation energy (eV per atom): -0.0467

***

[4]
Density functional theory data (PBE-GGA) for a relaxed Na2ZnPt3 crystal.

Cell: 5.4364 5.4364 5.2460 Å, 89.90 121.35 119.98°
Closest atoms and distances in Å follow each position.
Positions (direct):
Pt 0.5000 0.5000 0.5000  2 Zn 2.62, 4 Pt 2.72
Zn 0.0000 0.0000 0.0000  6 Pt 2.62
Na 0.7567 0.3784 0.1351  4 Na 3.06-3.34, 9 Pt 3.09-3.12, 3 Zn 3.19
Pt 0.0000 0.0000 0.5000  2 Zn 2.62, 4 Pt 2.72
Na 0.2433 0.6216 0.8649  4 Na 3.06-3.34, 9 Pt 3.09-3.12, 3 Zn 3.19
Pt 0.5000 0.0000 0.5000  2 Zn 2.62, 4 Pt 2.72

Computed properties:
E_form (eV/f.u.): -2.550
Size of the total moment (μB per cell): 0.00
Space-group type: C2/m

***

It is found that the E values, taken in the order of the records, are -37.020 -20.636 -15.878 -24.584 eV/f.u..